--- P ---
DFT (meta-GGA SCAN) results for a PBEsol-optimized structure of Ca2YFe.

Computed properties:
Spin magnetization: 1.32 μB/cell
Theoretical density: 3.40 g/cm³

Cell lengths 3.5017, 6.3978, 5.7682 Å; angles 116.78, 90.00, 105.88 degrees
Each line ends with the local moment (μB).
Atoms (fractional coordinates):
Ca 0.8076 0.6152 0.3072  -0.08
Ca 0.9962 0.9924 0.9961  -0.05
Y 0.1844 0.3688 0.6840  -0.51
Fe 0.5118 0.0236 0.5127  2.50

--- Q ---
DFT (meta-GGA SCAN) results for a PBEsol-optimized structure of Ca2YFe.

Computed properties:
Spin magnetization: 2.94 μB/cell
Theoretical density: 3.61 g/cm³

Cell lengths 5.2688, 5.2688, 5.2688 Å; angles 60.00, 60.00, 60.00 degrees
Each line ends with the local moment (μB).
Atoms (fractional coordinates):
Ca 0.7500 0.7500 0.7500  -0.03
Y 0.2500 0.2500 0.2500  -0.13
Fe 0.5000 0.5000 0.5000  3.31
Ca 0.0000 0.0000 0.0000  -0.06

The most stable structure shown above is P; the least stable is Q.